# Cs2Li3NbF12

A relaxed structure of Cs2Li3NbF12 (PBE, the Alexandria database).

It has space group R-3m (No. 166, hexagonal axes), with a = 7.2143 Å, b = 7.2143 Å, c = 20.3455 Å, α = 90.00°, β = 90.00° and γ = 120.00°. The asymmetric unit holds Cs at (0.0000, 0.0000, 0.0986), Li at (0.0000, 0.5000, 0.0000), Nb at (0.0000, 0.0000, 0.5000), F at (0.0766, 0.5383, 0.1132) and F at (0.0783, 0.5392, 0.3514).

For the energy, the calculation gives -4.81 eV per atom. For the density of states at the Fermi level, the calculation gives 0.39 states/eV per atom. The value obtained for the energy relative to the elements, uncorrected is -46.57 eV/f.u.